1.
Density functional theory data (PBE-GGA) for a relaxed structure of La2TmMnS5.

Output
- final energy (eV/atom) = -6.722
- D(E_F) (states/eV/cell) = 6.525
- symmetry = No. 36

Cell and atoms, written as POSCAR:
```
La2TmMnS5
1.0
3.968 0.000 0.000
-1.984 8.430 0.000
0.000 0.000 11.963
La Tm Mn S
4 2 2 10
Cartesian
1.984 6.257 9.734 La
0.000 1.895 8.231 La
0.000 2.173 3.753 La
1.984 6.534 2.250 La
1.984 5.068 6.141 Tm
0.000 3.362 0.160 Tm
1.984 0.874 11.351 Mn
0.000 7.555 5.369 Mn
0.000 6.042 0.035 S
1.984 3.146 10.279 S
0.000 8.348 9.238 S
0.000 4.875 8.000 S
1.984 7.670 6.662 S
1.984 2.388 6.016 S
0.000 5.284 4.298 S
1.984 0.082 3.257 S
1.984 3.554 2.018 S
0.000 0.760 0.680 S
```

***

2.
Density functional theory data (PBE-GGA) for a relaxed structure of La2MnVS6.

Output
- final energy (eV/atom) = -6.747
- D(E_F) (states/eV/cell) = 11.632
- symmetry = No. 14

Cell and atoms, written as POSCAR:
```
La2MnVS6
1.0
-1.789 1.121 6.037
-5.769 -4.000 -0.967
4.672 -7.410 2.775
La Mn V S
4 2 2 12
Cartesian
-4.099 -5.408 0.049 La
-0.919 -7.347 4.746 La
1.212 -4.881 7.797 La
-1.968 -2.941 3.099 La
1.441 -3.144 4.406 Mn
-2.885 -2.000 -0.483 Mn
-0.895 0.561 3.019 V
-0.549 -5.705 0.904 V
-4.352 -2.765 1.396 S
-3.564 -6.362 5.693 S
1.466 -7.523 6.449 S
0.678 -3.926 2.152 S
-2.402 -5.740 2.483 S
-1.707 -9.402 6.764 S
-0.485 -4.549 5.362 S
-1.179 -0.887 1.081 S
-3.413 -2.906 5.615 S
-2.888 -9.048 3.530 S
0.527 -7.382 2.231 S
0.002 -1.241 4.315 S
```

***

3.
Density functional theory data (PBE-GGA) for a relaxed structure of La2YMnS5.

Output
- final energy (eV/atom) = -6.942
- D(E_F) (states/eV/cell) = 6.510
- symmetry = No. 36

Cell and atoms, written as POSCAR:
```
La2YMnS5
1.0
-3.263 -0.278 -2.276
-1.367 -5.807 6.164
-5.450 8.475 6.776
La Y Mn S
4 2 2 10
Cartesian
-8.463 2.507 8.331 La
-4.481 4.452 5.879 La
-2.596 1.404 3.550 La
-4.964 -3.050 3.995 La
-6.365 0.569 5.560 Y
-1.247 -2.019 2.034 Y
-7.003 7.136 5.672 Mn
-5.036 -1.701 7.427 Mn
-2.175 -4.017 3.610 S
-7.463 4.945 6.599 S
-7.088 0.542 10.095 S
-5.511 2.191 7.632 S
-7.355 -1.410 7.222 S
-5.348 2.429 3.875 S
-3.853 -0.634 5.601 S
-3.070 1.968 0.666 S
-3.811 -0.981 2.089 S
-0.248 -0.053 0.362 S
```

***

4.
Density functional theory data (PBE-GGA) for a relaxed structure of LaMn2ZnS.

Output
- final energy (eV/atom) = -5.464
- D(E_F) (states/eV/cell) = 8.843
- symmetry = No. 123

Cell and atoms, written as POSCAR:
```
LaMn2ZnS
1.0
4.249 0.000 0.000
0.000 5.389 0.000
0.000 0.000 4.249
Zn Mn S La
1 2 1 1
Cartesian
2.125 2.694 2.125 Zn
0.000 0.000 2.125 Mn
2.125 0.000 0.000 Mn
0.000 0.000 0.000 S
0.000 2.694 0.000 La
```

***

5.
Density functional theory data (PBE-GGA) for a relaxed structure of LaMnZnS2.

Output
- final energy (eV/atom) = -5.454
- D(E_F) (states/eV/cell) = 1.907
- symmetry = No. 123

Cell and atoms, written as POSCAR:
```
LaMnZnS2
1.0
-4.098 0.105 -2.296
1.855 -2.619 -3.432
-1.323 -3.804 2.188
Zn Mn S La
1 1 2 1
Cartesian
-0.662 -1.902 1.094 Zn
0.000 0.000 0.000 Mn
0.928 -1.310 -1.716 S
-2.049 0.053 -1.148 S
-1.783 -3.159 -1.770 La
```

***

6.
Density functional theory data (PBE-GGA) for a relaxed structure of LaMnSb2.

Output
- final energy (eV/atom) = -5.903
- D(E_F) (states/eV/cell) = 2.626
- symmetry = No. 65

Cell and atoms, written as POSCAR:
```
LaMnSb2
1.0
4.156 0.000 0.000
0.000 5.136 -0.337
0.000 2.089 4.706
La Mn Sb
1 1 2
Cartesian
2.078 1.806 1.092 La
2.078 5.418 3.277 Mn
0.000 6.804 4.116 Sb
0.000 4.033 2.439 Sb
```